*a*
! Tm2InSb, relaxed, DFT GGA-PBE; values from VASP
&SYSTEM
  ibrav = 0, nat = 4, ntyp = 3
/
ATOMIC_SPECIES
Tm 168.93 Tm.upf
Sb 121.76 Sb.upf
In 114.82 In.upf
ATOMIC_POSITIONS angstrom
Tm 0.649 -4.647 2.150
Sb -2.387 -0.847 -1.111
In -1.958 -3.914 0.308
Tm 0.208 -1.487 0.688
CELL_PARAMETERS angstrom
-3.740 0.007 1.144
-1.033 -1.702 -3.367
0.857 -6.133 2.837
! **SG**: P4/mmm, No. 123
! **ρ**: 9.15 Mg/m³

***

*b*
! Tm2InSb, relaxed, DFT GGA-PBE; values from VASP
&SYSTEM
  ibrav = 0, nat = 4, ntyp = 3
/
ATOMIC_SPECIES
In 114.82 In.upf
Tm 168.93 Tm.upf
Sb 121.76 Sb.upf
ATOMIC_POSITIONS angstrom
In -4.603 -0.894 4.061
Tm -2.275 -0.325 1.927
Sb 0.000 0.000 0.000
Tm -6.931 -1.464 6.194
CELL_PARAMETERS angstrom
-1.877 2.579 2.561
-4.032 0.620 -0.312
-3.297 -4.988 5.873
! **SG**: R-3m, No. 166
! **ρ**: 8.19 Mg/m³

***

Most stable structure, least stable structure: *b*, *a*.

***

*a*
! TmInSb2, relaxed, DFT GGA-PBE; values from VASP
&SYSTEM
  ibrav = 0, nat = 4, ntyp = 3
/
ATOMIC_SPECIES
Tm 168.93 Tm.upf
Sb 121.76 Sb.upf
In 114.82 In.upf
ATOMIC_POSITIONS angstrom
Tm 4.497 2.597 0.023
Sb 2.249 1.298 5.268
In 4.497 2.597 3.512
Sb 2.249 1.298 1.601
CELL_PARAMETERS angstrom
4.497 0.000 0.000
2.249 3.895 0.000
2.249 1.298 6.936
! **SG**: R3m, No. 160
! **ρ**: 7.21 Mg/m³

***

*b*
! TmInSb2, relaxed, DFT GGA-PBE; values from VASP
&SYSTEM
  ibrav = 0, nat = 4, ntyp = 3
/
ATOMIC_SPECIES
Sb 121.76 Sb.upf
In 114.82 In.upf
Tm 168.93 Tm.upf
ATOMIC_POSITIONS angstrom
Sb 2.154 1.243 1.838
In 4.308 2.487 3.668
Tm 0.000 0.000 0.000
Sb 6.461 3.730 5.498
CELL_PARAMETERS angstrom
4.308 0.000 0.000
2.154 3.730 0.000
2.154 1.243 7.336
! **SG**: R-3m, No. 166
! **ρ**: 7.43 Mg/m³

***

Most stable structure, least stable structure: *b*, *a*.

***

*a*
! TmIn2Sb, relaxed, DFT GGA-PBE; values from VASP
&SYSTEM
  ibrav = 0, nat = 4, ntyp = 3
/
ATOMIC_SPECIES
Sb 121.76 Sb.upf
In 114.82 In.upf
Tm 168.93 Tm.upf
ATOMIC_POSITIONS angstrom
Sb -3.500 -1.748 1.107
In -0.133 -1.740 1.430
In -1.624 1.066 1.147
Tm -1.744 -1.075 -1.470
CELL_PARAMETERS angstrom
-3.488 -2.150 -2.939
-0.265 -3.479 2.860
-3.247 2.133 2.294
! **SG**: P4/mmm, No. 123
! **ρ**: 8.42 Mg/m³

***

*b*
! TmIn2Sb, relaxed, DFT GGA-PBE; values from VASP
&SYSTEM
  ibrav = 0, nat = 4, ntyp = 3
/
ATOMIC_SPECIES
Tm 168.93 Tm.upf
In 114.82 In.upf
Sb 121.76 Sb.upf
ATOMIC_POSITIONS angstrom
Tm 0.000 0.000 0.000
In 1.749 1.010 8.178
Sb 3.497 2.019 5.650
In 5.246 3.029 3.122
CELL_PARAMETERS angstrom
3.497 0.000 0.000
1.749 3.029 0.000
1.749 1.010 11.300
! **SG**: R-3m, No. 166
! **ρ**: 7.22 Mg/m³

***

Most stable structure, least stable structure: *a*, *b*.

***

*a*
! UInSb2, relaxed, DFT GGA-PBE; values from VASP
&SYSTEM
  ibrav = 0, nat = 4, ntyp = 3
/
ATOMIC_SPECIES
U 238.03 U.upf
In 114.82 In.upf
Sb 121.76 Sb.upf
ATOMIC_POSITIONS angstrom
U -1.485 1.018 0.993
In -2.558 -1.965 2.448
Sb 0.544 -1.226 2.070
Sb -1.617 -1.758 -0.616
CELL_PARAMETERS angstrom
-2.970 2.037 1.986
-3.235 -3.516 -1.231
1.088 -2.452 4.141
! **SG**: P4/mmm, No. 123
! **ρ**: 9.89 Mg/m³

***

*b*
! UInSb2, relaxed, DFT GGA-PBE; values from VASP
&SYSTEM
  ibrav = 0, nat = 4, ntyp = 3
/
ATOMIC_SPECIES
Sb 121.76 Sb.upf
U 238.03 U.upf
In 114.82 In.upf
ATOMIC_POSITIONS angstrom
Sb 4.796 2.769 3.166
U 0.000 0.000 0.000
In 3.198 1.846 6.232
Sb 1.599 0.923 9.297
CELL_PARAMETERS angstrom
3.198 0.000 0.000
1.599 2.769 0.000
1.599 0.923 12.463
! **SG**: R-3m, No. 166
! **ρ**: 8.97 Mg/m³

***

*c*
! UInSb2, relaxed, DFT GGA-PBE; values from VASP
&SYSTEM
  ibrav = 0, nat = 4, ntyp = 3
/
ATOMIC_SPECIES
In 114.82 In.upf
Sb 121.76 Sb.upf
U 238.03 U.upf
ATOMIC_POSITIONS angstrom
In -3.651 -5.040 1.219
Sb -0.586 -5.417 1.999
Sb -1.924 -2.291 0.500
U -4.865 -2.204 -0.141
CELL_PARAMETERS angstrom
-4.097 -0.796 1.996
-3.225 -2.451 -2.235
-0.029 -6.722 2.624
! **SG**: R3m, No. 160
! **ρ**: 7.97 Mg/m³

***

Most stable structure, least stable structure: *a*, *b*.

***

*a*
! V2In2Sb, relaxed, DFT GGA-PBE; values from VASP
&SYSTEM
  ibrav = 0, nat = 10, ntyp = 3
/
ATOMIC_SPECIES
In 114.82 In.upf
V 50.94 V.upf
Sb 121.76 Sb.upf
ATOMIC_POSITIONS angstrom
In -4.591 4.397 1.130
In -2.134 1.893 1.747
In -7.151 1.926 1.297
V -2.522 3.391 -0.765
Sb -4.450 1.564 -0.644
In -4.693 -0.578 1.914
V -2.634 -0.323 -0.182
V -6.379 -0.264 -0.523
V -6.267 3.450 -1.106
Sb 0.000 0.000 0.000
CELL_PARAMETERS angstrom
-2.811 5.998 -1.207
-6.090 -2.870 -0.082
-0.384 0.692 4.332
! **SG**: P4/mbm, No. 127
! **ρ**: 7.54 Mg/m³

***

*b*
! V2In2Sb, relaxed, DFT GGA-PBE; values from VASP
&SYSTEM
  ibrav = 0, nat = 5, ntyp = 3
/
ATOMIC_SPECIES
V 50.94 V.upf
In 114.82 In.upf
Sb 121.76 Sb.upf
ATOMIC_POSITIONS angstrom
V 1.957 1.957 1.142
In 1.957 3.914 3.343
V 3.914 3.914 5.544
In 3.914 1.957 3.343
Sb 0.000 0.000 0.000
CELL_PARAMETERS angstrom
3.914 0.000 0.000
0.000 3.914 0.000
1.957 1.957 6.686
! **SG**: I4/mmm, No. 139
! **ρ**: 7.35 Mg/m³

***

Most stable structure, least stable structure: *a*, *b*.

***

*a*
! YIn3Sb, relaxed, DFT GGA-PBE; values from VASP
&SYSTEM
  ibrav = 0, nat = 5, ntyp = 3
/
ATOMIC_SPECIES
In 114.82 In.upf
Y 88.91 Y.upf
Sb 121.76 Sb.upf
ATOMIC_POSITIONS angstrom
In 2.912 0.000 0.000
In 0.000 2.912 0.000
Y 0.000 0.000 0.000
In 0.000 0.000 2.912
Sb 2.912 2.912 2.912
CELL_PARAMETERS angstrom
5.824 0.000 0.000
0.000 5.824 0.000
0.000 0.000 5.824
! **SG**: Pm-3m, No. 221
! **ρ**: 4.67 Mg/m³

***

*b*
! YIn3Sb, relaxed, DFT GGA-PBE; values from VASP
&SYSTEM
  ibrav = 0, nat = 5, ntyp = 3
/
ATOMIC_SPECIES
Sb 121.76 Sb.upf
In 114.82 In.upf
Y 88.91 Y.upf
ATOMIC_POSITIONS angstrom
Sb 0.000 0.000 0.000
In 0.617 -1.636 2.182
In 1.996 -1.254 -1.505
In -1.859 -1.889 -0.891
Y 0.754 -4.779 -0.213
CELL_PARAMETERS angstrom
-3.718 -3.779 -1.782
3.991 -2.508 -3.009
1.234 -3.272 4.364
! **SG**: Pm-3m, No. 221
! **ρ**: 5.27 Mg/m³

***

Most stable structure, least stable structure: *b*, *a*.